The following is a DFT calculation (PBE) of an optimized crystal structure of Na2ZnW.

a = 7.114 Å, b = 7.114 Å, c = 7.114 Å
α = 90.00°, β = 90.00°, γ = 90.00°
Space group Fm-3m (No. 225)
Inequivalent atoms, fractional coordinates:
Na1 0.250 0.250 0.250 [8 per cell]
Zn1 0.000 0.000 0.000 [4 per cell]
W1 0.000 0.000 0.500 [4 per cell]

Values from the calculation:
energy of formation: 5.59 eV per formula unit
DOS(E_F): 10.41 states/eV per cell
E above lowest polymorph: 60 meV per atom
density: 5.4 g/cm3